# 1
Here is Ca2CdPRh after structural relaxation from Alexandria. Energies are from PBE-GGA.

Its formation enthalpy at 0 K is -0.52 eV/atom. Its space-group type is P4/mmm (123). As for the crystal system: tetragonal.

abc: 5.4853 5.4853 4.3574
angles: 90.00 90.00 90.00
Sites, in units of the cell vectors:
Rh 0.0000 0.0000 0.5000
Cd 0.5000 0.5000 0.5000
Ca 0.5000 0.0000 0.0000
P 0.0000 0.0000 0.0000
Ca 0.0000 0.5000 0.0000

# 2
Here is Ba2ZnAg2 after structural relaxation from Alexandria. Energies are from PBE-GGA.

Its formation enthalpy at 0 K is -0.09 eV/atom. Its space-group type is I4/mmm (139). As for the crystal system: tetragonal. The energy relative to the lowest polymorph listed for this composition comes out at 164 meV per atom.

abc: 6.4723 6.4723 6.1246
angles: 58.10 58.10 90.00
Sites, in units of the cell vectors:
Zn 0.0000 0.0000 0.0000
Ag 0.6661 0.6661 0.6677
Ag 0.3339 0.3339 0.3323
Ba 0.2500 0.7500 0.5000
Ba 0.7500 0.2500 0.5000

# 3
Here is NaIn2Pb after structural relaxation from Alexandria. Energies are from PBE-GGA.

Its formation enthalpy at 0 K is -0.05 eV/atom. Its space-group type is P4/mmm (123). As for the crystal system: tetragonal.

abc: 4.0925 4.0925 6.8473
angles: 90.00 90.00 90.00
Sites, in units of the cell vectors:
Pb 0.5000 0.5000 0.0000
In 0.0000 0.0000 0.7550
In 0.0000 0.0000 0.2450
Na 0.5000 0.5000 0.5000

# 4
Here is In2AuCl after structural relaxation from Alexandria. Energies are from PBE-GGA.

Its space-group type is P4/mmm (123). As for the crystal system: tetragonal. Its energy relative to the elements, uncorrected is -336 meV per atom. The energy relative to the lowest polymorph listed for this composition comes out at 102 meV per atom.

abc: 3.6140 3.6188 7.4910
angles: 90.00 90.00 90.00
Sites, in units of the cell vectors:
In 0.0000 0.0000 0.0248
Au 0.5000 0.5000 0.2500
Cl 0.5000 0.5000 0.7500
In 0.0000 0.0000 0.4752

# 5
Here is SrScSi after structural relaxation from Alexandria. Energies are from PBE-GGA.

Its space-group type is Imm2 (44). As for the crystal system: orthorhombic. Its energy relative to the elements, uncorrected is -197 meV per atom.

abc: 6.5852 6.5852 6.5852
angles: 145.39 149.96 46.47
Sites, in units of the cell vectors:
Sc 0.9489 0.9489 0.0000
Sr 0.6827 0.6827 0.0000
Si 0.3684 0.3684 0.0000

# 6
Here is K2H2Pt after structural relaxation from Alexandria. Energies are from PBE-GGA.

Its space-group type is C2/m (12). As for the crystal system: monoclinic.

abc: 5.3319 6.0374 8.3838
angles: 111.68 90.00 116.20
Sites, in units of the cell vectors:
Pt 0.6014 0.2028 0.1663
K 0.6972 0.3944 0.6243
K 0.9013 0.8026 0.1237
H 0.4217 0.8434 0.0693
K 0.3028 0.6056 0.3757
K 0.0987 0.1974 0.8763
H 0.2480 0.4961 0.6654
H 0.5783 0.1566 0.9307
Pt 0.3986 0.7972 0.8337
H 0.7520 0.5039 0.3346

Number 1: raw total energy -4.0592 eV/atom, DOS at the Fermi energy 2.7 states/eV/f.u.. Number 2: raw total energy -2.2530 eV/atom, DOS at the Fermi energy 2.6 states/eV/f.u.. Number 3: raw total energy -2.6792 eV/atom, DOS at the Fermi energy 2.3 states/eV/f.u.. Number 4: raw total energy -2.9859 eV/atom, DOS at the Fermi energy 1.1 states/eV/f.u.. Number 5: raw total energy -4.6756 eV/atom, DOS at the Fermi energy 2.5 states/eV/f.u.. Number 6: raw total energy -3.2881 eV/atom, DOS at the Fermi energy 0.2 states/eV/f.u..